Na2Li3OsF12: relaxed, PBE.

Cell lengths 8.3281, 8.3281, 8.3281 Å; angles 46.51, 46.51, 46.51 degrees
Fractional coordinates of all 18 atoms:
Na: 0.5664 0.5664 0.5664
Na: 0.4336 0.4336 0.4336
Li: 0.5000 0.0000 0.0000
Li: 0.0000 0.5000 0.0000
Li: 0.0000 0.0000 0.5000
Os: 0.0000 0.0000 0.0000
F: 0.3448 0.3448 0.9061
F: 0.9130 0.9130 0.3203
F: 0.3203 0.9130 0.9130
F: 0.9061 0.3448 0.3448
F: 0.9130 0.3203 0.9130
F: 0.3448 0.9061 0.3448
F: 0.6552 0.6552 0.0939
F: 0.0870 0.0870 0.6797
F: 0.6797 0.0870 0.0870
F: 0.0939 0.6552 0.6552
F: 0.0870 0.6797 0.0870
F: 0.6552 0.0939 0.6552

Computed properties:
- total moment (μB/f.u.) = 3.90
- uncorrected formation energy (eV per atom) = -2.104
- space-group type = R-3m